(1)
{"formula": "Pr3SmPd2", "functional": "PBE-GGA", "state": "optimized geometry", "lattice_angstrom": [[3.825, 0.000, -1.107], [-0.419, 5.055, -1.445], [0.441, -0.250, 8.682]], "species": ["Pr", "Pr", "Pr", "Sm", "Pd", "Pd"], "frac_coords": [[0.500, 0.500, 0.000], [0.815, 0.315, 0.630], [0.185, 0.685, 0.370], [0.000, 0.000, 0.000], [0.363, 0.862, 0.726], [0.637, 0.138, 0.274]], "formation_enthalpy_0k_mev_per_atom": -421}

***

(2)
{"formula": "BeCrPb", "functional": "PBE-GGA", "state": "optimized geometry", "lattice_angstrom": [[4.103, 0.000, 0.000], [-2.052, 3.553, 0.000], [0.000, 0.000, 3.610]], "species": ["Pb", "Cr", "Be"], "frac_coords": [[0.333, 0.667, 0.712], [0.667, 0.333, 0.229], [0.000, 0.000, 0.059]], "formation_enthalpy_0k_mev_per_atom": 712}

***

(3)
{"formula": "AcLaDyZn", "functional": "PBE-GGA", "state": "optimized geometry", "lattice_angstrom": [[-4.897, -0.749, 2.681], [-4.254, -2.633, -2.588], [-1.544, -5.158, 1.655]], "species": ["Ac", "La", "Zn", "Dy"], "frac_coords": [[0.500, 0.500, 0.500], [0.250, 0.250, 0.250], [0.000, 0.000, 0.000], [0.750, 0.750, 0.750]], "formation_enthalpy_0k_mev_per_atom": 149}